# ScTaF3

Crystalline ScTaF3 at its relaxed geometry (PBE-GGA, Alexandria via LeMat-Bulk).

Unit cell a=4.277 b=4.277 c=4.277 alpha=90.00 beta=90.00 gamma=90.00
Fractional positions:
1 Sc 0.000 0.000 0.000
2 Ta 0.500 0.500 0.500
3 F 0.000 0.000 0.500
4 F 0.000 0.500 0.000
5 F 0.500 0.000 0.000

Computed properties:
- Formation energy without anion corrections: -1.493 eV/atom
- Space group: Pm-3m
- Energy above the most stable polymorph in this dataset: 0.0 kJ/mol of atoms

---

# ScTaF3

Crystalline ScTaF3 at its relaxed geometry (PBE-GGA, Alexandria via LeMat-Bulk).

Unit cell a=4.344 b=4.344 c=4.344 alpha=90.00 beta=90.00 gamma=90.00
Fractional positions:
1 Sc 0.000 0.000 0.000
2 Ta 0.500 0.500 0.500
3 F 0.000 0.500 0.500
4 F 0.500 0.000 0.500
5 F 0.500 0.500 0.000

Computed properties:
- Formation energy without anion corrections: -1.298 eV/atom
- Space group: Pm-3m
- Energy above the most stable polymorph in this dataset: 18.8 kJ/mol of atoms

---

# Sc2TaF

Crystalline Sc2TaF at its relaxed geometry (PBE-GGA, Alexandria via LeMat-Bulk).

Unit cell a=6.503 b=6.503 c=7.249 alpha=90.00 beta=90.00 gamma=90.00
Fractional positions:
1 Sc 0.148 0.750 0.125
2 Sc 0.250 0.148 0.875
3 Sc 0.250 0.352 0.375
4 Sc 0.352 0.750 0.625
5 Sc 0.648 0.250 0.625
6 Sc 0.750 0.648 0.375
7 Sc 0.750 0.852 0.875
8 Sc 0.852 0.250 0.125
9 Ta 0.000 0.000 0.500
10 Ta 0.000 0.500 0.750
11 Ta 0.500 0.000 0.250
12 Ta 0.500 0.500 0.000
13 F 0.000 0.000 0.000
14 F 0.000 0.500 0.250
15 F 0.500 0.000 0.750
16 F 0.500 0.500 0.500

Computed properties:
- Formation energy without anion corrections: -0.664 eV/atom
- Space group: I-42d
- Energy above the most stable polymorph in this dataset: 32.7 kJ/mol of atoms

---

# Sc2TaF

Crystalline Sc2TaF at its relaxed geometry (PBE-GGA, Alexandria via LeMat-Bulk).

Unit cell a=6.749 b=6.749 c=6.749 alpha=90.00 beta=90.00 gamma=90.00
Fractional positions:
1 Sc 0.250 0.250 0.250
2 Sc 0.250 0.250 0.750
3 Sc 0.250 0.750 0.250
4 Sc 0.250 0.750 0.750
5 Sc 0.750 0.250 0.250
6 Sc 0.750 0.250 0.750
7 Sc 0.750 0.750 0.250
8 Sc 0.750 0.750 0.750
9 Ta 0.000 0.000 0.000
10 Ta 0.000 0.500 0.500
11 Ta 0.500 0.000 0.500
12 Ta 0.500 0.500 0.000
13 F 0.000 0.000 0.500
14 F 0.000 0.500 0.000
15 F 0.500 0.000 0.000
16 F 0.500 0.500 0.500

Computed properties:
- Formation energy without anion corrections: 0.092 eV/atom
- Space group: Fm-3m
- Energy above the most stable polymorph in this dataset: 105.6 kJ/mol of atoms